First-principles (PBE) data for Cs2LiCS after structural relaxation, as listed in Alexandria.

Calculated values
Total moment: 0.11 μB per cell
Formation energy (no corrections): 588 meV per atom

Lattice parameters (Å, degrees): 6.8258 3.7014 6.8258 90.00 90.00 90.00
Site moments in Bohr magnetons follow the coordinates.
Sites, in units of the cell vectors:
Cs (0.0000, 0.0000, 0.5000)  0.00
Cs (0.5000, 0.0000, 0.0000)  0.00
S (0.0000, 0.5000, 0.0000)  0.02
C (0.0000, 0.0000, 0.0000)  0.06
Li (0.5000, 0.5000, 0.5000)  -0.01

=====

First-principles (PBE) data for Li2PmMgHg4 after structural relaxation, as listed in Alexandria.

Calculated values
Total moment: 0.00 μB per cell
Energy relative to the elements: -2.9 eV per formula unit

Lattice parameters (Å, degrees): 4.7573 4.7573 9.4189 75.37 75.37 60.00
Sites, in units of the cell vectors:
Li (0.7629, 0.7629, 0.7112)
Li (0.2371, 0.2371, 0.2888)
Pm (0.0000, 0.0000, 0.0000)
Mg (0.5000, 0.5000, 0.5000)
Hg (0.3903, 0.3903, 0.8290)
Hg (0.8763, 0.8763, 0.3711)
Hg (0.1237, 0.1237, 0.6289)
Hg (0.6097, 0.6097, 0.1710)

=====

First-principles (PBE) data for Pu4HgGePt2 after structural relaxation, as listed in Alexandria.

Calculated values
Total moment: 21.99 μB per cell
Energy relative to the elements: -3.8 eV per formula unit

Lattice parameters (Å, degrees): 5.0753 5.0753 8.7833 73.21 73.21 60.00
Site moments in Bohr magnetons follow the coordinates.
Sites, in units of the cell vectors:
Pu (0.3835, 0.3835, 0.8494)  5.21
Pu (0.8642, 0.8642, 0.4075)  5.38
Pu (0.1358, 0.1358, 0.5925)  5.38
Pu (0.6165, 0.6165, 0.1506)  5.21
Hg (0.0000, 0.0000, 0.0000)  0.04
Ge (0.5000, 0.5000, 0.5000)  -0.14
Pt (0.7361, 0.7361, 0.7918)  -0.09
Pt (0.2639, 0.2639, 0.2082)  -0.09

=====

First-principles (PBE) data for LiSiB after structural relaxation, as listed in Alexandria.

Calculated values
Total moment: 0.00 μB per cell
Formation energy (no corrections): 117 meV per atom

Lattice parameters (Å, degrees): 10.5108 5.1724 5.1724 146.09 145.17 34.83
Sites, in units of the cell vectors:
Si (0.1563, 0.9495, 0.0505)
Si (0.8437, 0.0505, 0.9495)
B (0.9956, 0.7146, 0.2854)
B (0.0044, 0.2854, 0.7146)
Li (0.6502, 0.4789, 0.5211)
Li (0.3498, 0.5211, 0.4789)